First-principles (PBE) data for a relaxed Rb4Ag3SbBr12 crystal, as listed in the Alexandria database.

Cell and atoms, written as extended XYZ:
```
20
Lattice="9.5996 0.0000 0.0000 -3.1999 9.0506 0.0000 -3.1999 -4.5253 7.8380" Properties=species:S:1:pos:R:3 pbc="T T T"
Br 1.5999 5.6566 1.9595
Br 1.5835 2.2394 0.0000
Br -4.8162 3.4056 5.8986
Br 4.8162 6.8111 0.0000
Br -1.5999 4.5253 3.9190
Br 4.8162 -3.4056 5.8986
Br 1.5835 -1.1197 1.9394
Br 4.7998 3.3940 1.9595
Br 1.5999 -1.1313 5.8785
Br -1.5835 1.1197 1.9394
Br 4.7998 0.0000 3.9190
Br -1.5999 1.1313 5.8785
Ag 3.1999 4.5253 0.0000
Ag 3.1999 -2.2626 3.9190
Ag -3.1999 2.2626 3.9190
Rb 1.5999 2.2626 3.9190
Rb -1.5999 -2.2626 3.9190
Rb -1.5999 4.5253 0.0000
Rb 4.7998 0.0000 0.0000
Sb 0.0000 0.0000 0.0000
```

## Properties
Symmetry = No. 229
DOS(E_F) = 7.83 states/eV per cell
Formation energy (no corrections) = -18.9 eV/f.u.